w.
DFT (PBE) results for a relaxed ReGeBi3 crystal.

D(E_F) in states/eV per cell: 4.5
SG: Pm-3m, No. 221

The structure in POSCAR format:
```
ReGeBi3
1.0
5.423 0.000 0.000
0.000 5.423 0.000
0.000 0.000 5.423
Re Ge Bi
1 1 3
Direct
0.000 0.000 0.000 Re
0.500 0.500 0.500 Ge
0.000 0.500 0.500 Bi
0.500 0.000 0.500 Bi
0.500 0.500 0.000 Bi
```

---

x.
DFT (PBE) results for a relaxed ReGeBi3 crystal.

D(E_F) in states/eV per cell: 2.5
SG: Pm-3m, No. 221

The structure in POSCAR format:
```
ReGeBi3
1.0
5.331 0.000 0.000
0.000 5.331 0.000
0.000 0.000 5.331
Re Ge Bi
1 1 3
Direct
0.000 0.000 0.000 Re
0.500 0.500 0.500 Ge
0.000 0.000 0.500 Bi
0.000 0.500 0.000 Bi
0.500 0.000 0.000 Bi
```

---

Most stable of them? x.